Entry 1:
This record from the Alexandria database describes a relaxed LaPr2Ir crystal. The functional is PBE. Values from VASP.

Structure (Quantum ESPRESSO input):
```
&SYSTEM
  ibrav = 0, nat = 4, ntyp = 3
/
ATOMIC_SPECIES
La 138.91 La.upf
Pr 140.91 Pr.upf
Ir 192.22 Ir.upf
ATOMIC_POSITIONS angstrom
La 0.0000 0.0000 0.0000
Pr 0.0000 0.0000 3.7117
Pr 0.0000 0.0000 28.6920
Ir 0.0000 0.0000 16.2019
CELL_PARAMETERS angstrom
1.9751 1.1403 10.8012
-1.9751 1.1403 10.8012
0.0000 -2.2806 10.8012
```

- Total magnetization: 0.65 μB/f.u.
- Symmetry: R-3m
- Formation enthalpy at 0 K: -0.098 eV/atom
- Theoretical density: 7.0 Mg/m³
- Energy: -23.741 eV/cell

=====

Entry 2:
This record from the Alexandria database describes a relaxed Pm7AlPb4 crystal. The functional is PBE. Values from VASP.

Structure (Quantum ESPRESSO input):
```
&SYSTEM
  ibrav = 0, nat = 12, ntyp = 3
/
ATOMIC_SPECIES
Pm 145.00 Pm.upf
Al 26.98 Al.upf
Pb 207.20 Pb.upf
ATOMIC_POSITIONS angstrom
Pm 0.0000 0.0000 0.0000
Pm -0.0265 0.0000 6.3830
Pm 3.0943 0.0000 4.7711
Pm 6.1983 0.0000 2.0535
Pm 6.4365 0.0000 5.6419
Pm 9.5404 0.0000 2.9242
Pm 12.6613 0.0000 1.3123
Al 8.5303 0.0000 0.0000
Pb -0.7923 0.0000 3.1756
Pb 2.8060 0.0000 1.5886
Pb 9.8287 0.0000 6.1068
Pb 13.4270 0.0000 4.5198
CELL_PARAMETERS angstrom
8.5303 -2.8677 0.0000
8.5303 2.8677 0.0000
-4.4258 0.0000 7.6954
```

- Total magnetization: 0.00 μB/f.u.
- Symmetry: C2/m
- Formation enthalpy at 0 K: -0.323 eV/atom
- Theoretical density: 8.3 Mg/m³
- Energy: -55.709 eV/cell

=====

Entry 3:
This record from the Alexandria database describes a relaxed Sc3TiBi crystal. The functional is PBE. Values from VASP.

Structure (Quantum ESPRESSO input):
```
&SYSTEM
  ibrav = 0, nat = 5, ntyp = 3
/
ATOMIC_SPECIES
Sc 44.96 Sc.upf
Ti 47.87 Ti.upf
Bi 208.98 Bi.upf
ATOMIC_POSITIONS angstrom
Sc 0.0000 0.0000 2.7054
Sc 0.0000 2.7054 0.0000
Sc 2.7054 0.0000 0.0000
Ti 2.7054 2.7054 2.7054
Bi 0.0000 0.0000 0.0000
CELL_PARAMETERS angstrom
5.4108 0.0000 0.0000
0.0000 5.4108 0.0000
0.0000 0.0000 5.4108
```

- Total magnetization: 3.87 μB/f.u.
- Symmetry: Pm-3m
- Formation enthalpy at 0 K: 0.713 eV/atom
- Theoretical density: 4.1 Mg/m³
- Energy: -27.208 eV/cell

=====

Entry 4:
This record from the Alexandria database describes a relaxed AcPm4Pr2Dy crystal. The functional is PBE. Values from VASP.

Structure (Quantum ESPRESSO input):
```
&SYSTEM
  ibrav = 0, nat = 16, ntyp = 4
/
ATOMIC_SPECIES
Ac 227.00 Ac.upf
Pm 145.00 Pm.upf
Pr 140.91 Pr.upf
Dy 162.50 Dy.upf
ATOMIC_POSITIONS angstrom
Ac 3.4960 3.4088 0.0000
Ac 1.7293 -3.4088 3.0520
Pm 1.7485 0.1008 2.8927
Pm 5.1703 3.4911 3.1371
Pm 3.5137 3.4911 6.0188
Pm -0.0182 -0.1008 5.9446
Pm 10.4688 0.1008 0.1593
Pm 6.9370 -3.4911 0.0851
Pm 5.2803 -3.4911 2.9669
Pm 8.7021 -0.1008 3.2113
Pr 1.7293 3.4088 3.0520
Pr 3.4960 -3.4088 0.0000
Pr 6.9920 0.0000 0.0000
Pr 5.2253 0.0000 3.0520
Dy 0.0000 0.0000 0.0000
Dy -1.7667 0.0000 3.0520
CELL_PARAMETERS angstrom
6.9920 -6.8177 0.0000
6.9920 6.8177 0.0000
-3.5333 0.0000 6.1039
```

- Total magnetization: 0.00 μB/f.u.
- Symmetry: C2/c
- Formation enthalpy at 0 K: 0.380 eV/atom
- Theoretical density: 7.1 Mg/m³
- Energy: -68.464 eV/cell

=====

Entry 5:
This record from the Alexandria database describes a relaxed FeRe2Cl crystal. The functional is PBE. Values from VASP.

Structure (Quantum ESPRESSO input):
```
&SYSTEM
  ibrav = 0, nat = 4, ntyp = 3
/
ATOMIC_SPECIES
Fe 55.84 Fe.upf
Re 186.21 Re.upf
Cl 35.45 Cl.upf
ATOMIC_POSITIONS angstrom
Fe 0.0000 0.0000 0.0000
Re 2.9704 0.0000 3.0048
Re 7.8850 0.0000 0.8044
Cl 5.4277 0.0000 1.9046
CELL_PARAMETERS angstrom
5.7536 -1.3759 0.0000
5.7536 1.3759 0.0000
-0.6517 0.0000 3.8092
```

- Total magnetization: 1.19 μB/f.u.
- Symmetry: C2/m
- Theoretical density: 12.8 Mg/m³
- Energy: -32.556 eV/cell
- Formation energy without anion corrections: 0.6624 eV/atom

=====

Entry 6:
This record from the Alexandria database describes a relaxed Ca2SbH crystal. The functional is PBE. Values from VASP.

Structure (Quantum ESPRESSO input):
```
&SYSTEM
  ibrav = 0, nat = 8, ntyp = 3
/
ATOMIC_SPECIES
Ca 40.08 Ca.upf
Sb 121.76 Sb.upf
H 1.01 H.upf
ATOMIC_POSITIONS angstrom
Ca 5.4072 1.1831 -0.9332
Ca 1.1831 1.8024 0.9332
Ca -1.8024 2.4217 2.7996
Ca 2.4217 1.8024 4.6660
Sb 3.6048 0.0000 1.8664
Sb 0.0000 0.0000 3.7328
H 0.0000 0.0000 0.0000
H 0.0000 3.6048 1.8664
CELL_PARAMETERS angstrom
-3.6048 3.6048 3.7328
3.6048 -3.6048 3.7328
3.6048 3.6048 -3.7328
```

- Total magnetization: 0.00 μB/f.u.
- Symmetry: I-42d
- Theoretical density: 3.5 Mg/m³
- Energy: -28.348 eV/cell

=====

Entry 7:
This record from the Alexandria database describes a relaxed HfTl2CdP crystal. The functional is PBE. Values from VASP.

Structure (Quantum ESPRESSO input):
```
&SYSTEM
  ibrav = 0, nat = 5, ntyp = 4
/
ATOMIC_SPECIES
Hf 178.49 Hf.upf
Tl 204.38 Tl.upf
Cd 112.41 Cd.upf
P 30.97 P.upf
ATOMIC_POSITIONS angstrom
Hf 0.0000 0.0000 0.0000
Tl 0.0000 2.6340 2.7917
Tl 2.6340 0.0000 2.7917
Cd 0.0000 0.0000 2.7917
P 2.6340 2.6340 0.0000
CELL_PARAMETERS angstrom
5.2679 0.0000 0.0000
0.0000 5.2679 0.0000
0.0000 0.0000 5.5835
```

- Total magnetization: 0.00 μB/f.u.
- Symmetry: P4/mmm
- Formation enthalpy at 0 K: 1.127 eV/atom
- Theoretical density: 7.8 Mg/m³
- Energy: -15.376 eV/cell